Computed, not measured: LaNb2HgO after structural relaxation at the PBEsol level of DFT.

Calculated values
Theoretical density, g cm⁻³: 6.64
E_form (uncorrected), eV/f.u.: 10.95

abc: 4.8898 4.8898 5.6619
angles: 90.00 90.00 90.00
Space group P4/mmm (No. 123)
Asymmetric unit:
La (0.0000, 0.0000, 0.0000) (multiplicity 1)
Nb (0.0000, 0.5000, 0.0000) (multiplicity 2)
Hg (0.0000, 0.0000, 0.5000) (multiplicity 1)
O (0.5000, 0.5000, 0.5000) (multiplicity 1)